# 1
A relaxed HfTaIn crystal, computed with PBE-GGA.

Values from the calculation:
- Energy of formation from the pure elements: 0.06 eV per atom
- Density of states at the Fermi level: 0.8445 states/eV per atom
- Magnetization: 0.000 μB/cell
- Distance to the lowest polymorph of the same formula: 0.00 eV/f.u.

a b c (Å): 5.441 5.441 5.441
angles (deg): 141.62 141.62 55.40
Sites, in units of the cell vectors:
Hf: 0.000 0.000 0.000
Ta: 0.660 0.660 0.000
In: 0.324 0.324 0.000



# 2
A relaxed Hf2TaInTe crystal, computed with PBE-GGA.

Values from the calculation:
- Density of states at the Fermi level: 0.8416 states/eV per atom
- Magnetization: 0.000 μB/cell
- E_tot: -6.7097 eV/atom

a b c (Å): 5.139 5.139 5.366
angles (deg): 90.00 90.00 90.00
Sites, in units of the cell vectors:
Hf: 0.000 0.500 0.000
Hf: 0.500 0.000 0.000
Ta: 0.000 0.000 0.000
In: 0.000 0.000 0.500
Te: 0.500 0.500 0.500



# 3
A relaxed HfTaTiIn2 crystal, computed with PBE-GGA.

Values from the calculation:
- Energy of formation from the pure elements: 1.02 eV per atom
- Density of states at the Fermi level: 0.9857 states/eV per atom
- Magnetization: 0.000 μB/cell

a b c (Å): 5.269 5.269 4.639
angles (deg): 90.00 90.00 90.00
Sites, in units of the cell vectors:
Hf: 0.000 0.000 0.000
Ta: 0.500 0.500 0.500
Ti: 0.500 0.500 0.000
In: 0.000 0.500 0.500
In: 0.500 0.000 0.500



# 4
A relaxed HfTa2TiIn crystal, computed with PBE-GGA.

Values from the calculation:
- Energy of formation from the pure elements: 1.86 eV per atom
- Density of states at the Fermi level: 1.3049 states/eV per atom
- Magnetization: 0.000 μB/cell

a b c (Å): 5.017 5.017 5.085
angles (deg): 90.00 90.00 90.00
Sites, in units of the cell vectors:
Hf: 0.000 0.000 0.000
Ta: 0.000 0.500 0.500
Ta: 0.500 0.000 0.500
Ti: 0.500 0.500 0.000
In: 0.000 0.000 0.500



# 5
A relaxed HfTaTiIn crystal, computed with PBE-GGA.

Values from the calculation:
- Energy of formation from the pure elements: 0.02 eV per atom
- Density of states at the Fermi level: 0.8611 states/eV per atom
- Magnetization: 0.000 μB/cell

a b c (Å): 4.790 4.790 4.790
angles (deg): 60.00 60.00 60.00
Sites, in units of the cell vectors:
Hf: 0.000 0.000 0.000
Ta: 0.250 0.250 0.250
Ti: 0.500 0.500 0.500
In: 0.750 0.750 0.750



# 6
A relaxed TbHf2In crystal, computed with PBE-GGA.

Values from the calculation:
- Energy of formation from the pure elements: 0.29 eV per atom
- Density of states at the Fermi level: 1.5795 states/eV per atom
- Magnetization: 0.001 μB/cell
- Distance to the lowest polymorph of the same formula: 1.49 eV/f.u.

a b c (Å): 11.710 11.710 11.710
angles (deg): 15.45 15.45 15.45
Sites, in units of the cell vectors:
Tb: 0.000 0.000 0.000
Hf: 0.092 0.092 0.092
Hf: 0.908 0.908 0.908
In: 0.500 0.500 0.500